Record 1
A plane-wave DFT calculation with PBE-GGA was carried out for a relaxed structure of MoOsW.

```
MoOsW
1.0
0.0000 3.0174 3.0174
3.0174 0.0000 3.0174
3.0174 3.0174 0.0000
Mo Os W
1 1 1
direct
0.0000 0.0000 0.0000
0.7500 0.7500 0.7500
0.5000 0.5000 0.5000
```

Calculated values
relative energy among the computed polymorphs = 541.6 meV/atom
E_tot = -11.019 eV/atom
energy relative to the elements = 0.65 eV per atom

Record 2
A plane-wave DFT calculation with PBE-GGA was carried out for a relaxed structure of MoOsW4.

```
MoOsW4
1.0
0.0000 3.6727 3.6727
3.6727 0.0000 3.6727
3.6727 3.6727 0.0000
Mo Os W
1 1 4
direct
0.0000 0.0000 0.0000
0.7500 0.7500 0.7500
0.3743 0.3743 0.3743
0.3743 0.3743 0.8771
0.3743 0.8771 0.3743
0.8771 0.3743 0.3743
```

Calculated values
E_tot = -11.844 eV/atom
energy relative to the elements = 0.47 eV per atom